This record from the Alexandria database describes LiCoBO3 after structural relaxation. The functional is PBE+U.

Output
Total moment   6.02 μB per cell
Space-group type   P-1 (2)
Total energy   -0.493 Ry per atom

a b c (Å): 5.0063 5.0207 6.3880
angles (deg): 68.52 70.47 61.89
Closest atoms and distances in Å follow each position.
Element x y z (fractional)
Li  0.1473  0.2556  0.1533  4 O 1.92-2.03
Li  0.8527  0.7444  0.8467  4 O 1.92-2.03
Co  0.2410  0.1499  0.6687  4 O 1.93-2.06
Co  0.7590  0.8501  0.3313  4 O 1.93-2.06
B  0.4365  0.5688  0.2495  3 O 1.37-1.41
B  0.5635  0.4312  0.7505  3 O 1.37-1.41
O  0.1730  0.8371  0.2410  1 B 1.37
O  0.2759  0.4185  0.8123  1 B 1.39
O  0.4131  0.2778  0.3220  1 B 1.41
O  0.5869  0.7222  0.6780  1 B 1.41
O  0.7241  0.5815  0.1877  1 B 1.39
O  0.8270  0.1629  0.7590  1 B 1.37